1.
Material: SmTmAg4
Method: DFT, PBE-GGA
State: relaxed

a b c (Å): 5.714 5.714 5.714
angles (deg): 60.00 60.00 60.00
Fractional positions:
Sm1 0.000 0.000 0.000
Tm1 0.750 0.750 0.750
Ag1 0.375 0.375 0.375
Ag2 0.375 0.375 0.874
Ag3 0.375 0.874 0.375
Ag4 0.874 0.375 0.375

Calculated values
The magnetic moment comes out at 0.00 μB per cell. Its distance to the lowest polymorph of the same formula is 0.130 eV/atom. For the energy of formation from the pure elements, the calculation gives -0.17 eV per atom. As for the calculated density: 9.5 g cm⁻³.



2.
Material: Sm2TmAg2
Method: DFT, PBE-GGA
State: relaxed

a b c (Å): 13.727 13.727 5.263
angles (deg): 90.00 90.00 164.62
Fractional positions:
Sm1 0.047 0.953 0.750
Sm2 0.234 0.766 0.750
Sm3 0.766 0.234 0.250
Sm4 0.953 0.047 0.250
Tm1 0.145 0.855 0.250
Tm2 0.855 0.145 0.750
Ag1 0.359 0.641 0.250
Ag2 0.448 0.552 0.750
Ag3 0.552 0.448 0.250
Ag4 0.641 0.359 0.750

Calculated values
The magnetic moment comes out at 0.00 μB per cell. Its distance to the lowest polymorph of the same formula is 0.000 eV/atom. For the energy of formation from the pure elements, the calculation gives -0.21 eV per atom. As for the calculated density: 8.7 g cm⁻³.